(1)
Density functional theory data (PBE-GGA) for a relaxed structure of PrI3N.

Cell: 9.238 8.541 9.904 Å, 147.43 119.27 62.98°
Positions (direct):
N 0.826 0.645 0.961
I 0.850 0.776 0.249
I 0.478 0.512 0.805
Pr 0.456 0.788 0.346
I 0.235 0.196 0.783
Pr 0.904 0.502 0.693
I 0.542 0.360 0.328
I 0.818 0.939 0.709
N 0.600 0.695 0.147
I 0.132 0.086 0.251

## Properties
formation energy from raw total energies	-47.9	kJ per mole of atoms
symmetry	No. 1

(2)
Density functional theory data (PBE-GGA) for a relaxed structure of Pr8Pt3I3N.

Cell: 8.388 8.382 9.422 Å, 116.43 90.01 120.01°
Positions (direct):
Pr 0.791 0.029 0.320
Pr 0.791 0.581 0.320
Pr 0.209 0.971 0.680
I 0.500 0.500 0.000
Pr 0.729 0.458 0.686
Pt 0.500 0.000 0.500
Pt 0.000 0.500 0.500
Pt 0.500 0.500 0.500
Pr 0.271 0.542 0.314
I 0.000 0.500 0.000
Pr 0.209 0.419 0.680
I 0.000 0.000 0.000
Pr 0.762 0.971 0.680
Pr 0.238 0.029 0.320
N 0.000 0.000 0.500

## Properties
formation energy from raw total energies	-91.3	kJ per mole of atoms
symmetry	No. 12

(3)
Density functional theory data (PBE-GGA) for a relaxed structure of Pr4PtI2N.

Cell: 3.988 7.261 8.309 Å, 106.83 90.00 90.00°
Positions (direct):
I 0.500 0.000 0.500
Pt 0.500 0.500 0.000
I 0.000 0.500 0.500
Pr 0.500 0.194 0.178
Pr 0.000 0.245 0.819
N 0.000 0.000 0.000
Pr 0.000 0.755 0.181
Pr 0.500 0.806 0.822

## Properties
formation energy from raw total energies	-102.0	kJ per mole of atoms
symmetry	No. 10

(4)
Density functional theory data (PBE-GGA) for a relaxed structure of Pr6Pt2I3N.

Cell: 7.120 7.120 8.463 Å, 98.02 98.02 119.88°
Each line ends with the local moment (μB).
Positions (direct):
Pr 0.762 0.762 0.187  0.09
I 0.829 0.171 0.500  0.00
Pr 0.939 0.639 0.816  0.09
Pr 0.061 0.361 0.184  0.09
Pt 0.666 0.334 0.000  0.03
Pr 0.238 0.238 0.813  0.09
N 0.000 0.000 0.000  -0.03
Pr 0.639 0.939 0.816  0.09
Pr 0.361 0.061 0.184  0.09
I 0.500 0.500 0.500  0.00
Pt 0.334 0.666 0.000  0.03
I 0.171 0.829 0.500  0.00

## Properties
formation energy from raw total energies	-102.8	kJ per mole of atoms
symmetry	No. 12

(5)
Density functional theory data (PBE-GGA) for a relaxed structure of Pr8Pt3I4N.

Cell: 8.379 9.446 8.387 Å, 116.43 119.97 90.00°
Each line ends with the local moment (μB).
Positions (direct):
Pt 0.500 0.500 0.500  0.01
Pr 0.271 0.313 0.542  0.00
Pr 0.729 0.687 0.458  0.00
N 0.000 0.500 0.000  -0.03
Pr 0.212 0.682 0.970  0.09
Pr 0.788 0.318 0.030  0.09
Pt 0.000 0.500 0.500  0.01
Pr 0.242 0.318 0.030  0.09
I 0.500 0.000 0.000  0.01
I 0.500 0.000 0.500  0.00
I 0.000 0.000 0.000  0.00
I 0.000 0.000 0.500  0.00
Pr 0.758 0.682 0.970  0.09
Pr 0.213 0.683 0.426  0.09
Pr 0.787 0.317 0.574  0.09
Pt 0.500 0.500 0.000  0.01

## Properties
formation energy from raw total energies	-102.3	kJ per mole of atoms
symmetry	No. 12

(6)
Density functional theory data (PBE-GGA) for a relaxed structure of Pr6Rh2I3N.

Cell: 7.107 7.107 8.444 Å, 98.00 98.00 119.89°
Positions (direct):
N 0.000 0.000 0.000
Rh 0.333 0.667 0.000
Pr 0.370 0.059 0.178
Pr 0.747 0.747 0.179
Pr 0.630 0.941 0.822
I 0.168 0.832 0.500
Rh 0.667 0.333 0.000
Pr 0.941 0.630 0.822
I 0.500 0.500 0.500
Pr 0.059 0.370 0.178
I 0.832 0.168 0.500
Pr 0.253 0.253 0.821

## Properties
formation energy from raw total energies	-93.4	kJ per mole of atoms
symmetry	No. 12